[1]
An optimized crystal structure of La2Ge2H4Ir, computed with PBE-GGA.

Results
For the electronic total energy, the calculation gives -4.960 eV per atom. As for the density of states at the Fermi level: 0.568 states/eV/atom. The space group is I4/mmm (139). The value obtained for the total magnetization is 0.00 μB/cell.

abc: 5.7132 5.7132 5.7132
angles: 116.44 116.44 96.28
Fractional coordinates of all 9 atoms:
La: 0.2500 0.7500 0.5000
La: 0.7500 0.2500 0.5000
Ge: 0.1626 0.1626 0.0000
Ge: 0.8374 0.8374 0.0000
H: 0.2997 0.2997 0.5993
H: 0.2997 0.7004 0.0000
H: 0.7004 0.2997 0.0000
H: 0.7004 0.7004 0.4007
Ir: 0.5000 0.5000 0.0000



[2]
An optimized crystal structure of Tl2HgAsSe, computed with PBE-GGA.

Results
The calculation puts the formation energy (no corrections) at 0.464 eV per atom. As for the density of states at the Fermi level: 0.836 states/eV/atom. The space group is P4/mmm (123). The value obtained for the total magnetization is 0.00 μB/cell.

abc: 5.7887 5.7887 5.1182
angles: 90.00 90.00 90.00
Fractional coordinates of all 5 atoms:
Tl: 0.0000 0.5000 0.0000
Tl: 0.5000 0.0000 0.0000
Hg: 0.0000 0.0000 0.0000
As: 0.0000 0.0000 0.5000
Se: 0.5000 0.5000 0.5000



[3]
An optimized crystal structure of InTcOs2, computed with PBE-GGA.

Results
The calculation puts the formation energy at 0.65 eV per atom. As for the density of states at the Fermi level: 1.532 states/eV/atom. The space group is P4/mmm (123). The value obtained for the total magnetization is 0.89 μB/cell.

abc: 3.9943 3.9943 3.9692
angles: 90.00 90.00 90.00
Fractional coordinates of all 4 atoms:
In: 0.0000 0.0000 0.0000
Tc: 0.5000 0.5000 0.0000
Os: 0.0000 0.5000 0.5000
Os: 0.5000 0.0000 0.5000